No. 1
! PmPrEr | Alexandria | PBE | relaxed; values from VASP
&SYSTEM
  ibrav = 0, nat = 3, ntyp = 3
/
ATOMIC_SPECIES
Pr 140.91 Pr.upf
Pm 145.00 Pm.upf
Er 167.26 Er.upf
CELL_PARAMETERS angstrom
-2.637 -2.200 -1.152
1.413 -0.443 3.305
-6.081 5.539 3.344
ATOMIC_POSITIONS angstrom
Pr -0.031 0.028 0.017
Pm -3.950 2.627 4.026
Er -3.324 0.241 1.454
! symmetry = P3m1, No. 156
! total magnetic moment = 0.00 μB per formula unit
! relative energy among the computed polymorphs = 0.000 eV per atom
! ΔH_f (0 K) = 0.48 kcal/mol of atoms

=====

No. 2
! PmPrEr | Alexandria | PBE | relaxed; values from VASP
&SYSTEM
  ibrav = 0, nat = 6, ntyp = 3
/
ATOMIC_SPECIES
Pr 140.91 Pr.upf
Er 167.26 Er.upf
Pm 145.00 Pm.upf
CELL_PARAMETERS angstrom
4.914 0.000 0.000
0.000 4.914 0.000
0.000 0.000 8.761
ATOMIC_POSITIONS angstrom
Pr 0.000 0.000 0.000
Pr 2.457 2.457 0.000
Er 0.000 2.457 6.122
Er 2.457 0.000 2.639
Pm 0.000 2.457 2.672
Pm 2.457 0.000 6.090
! symmetry = P4/nmm, No. 129
! total magnetic moment = 0.00 μB per formula unit
! relative energy among the computed polymorphs = 0.215 eV per atom
! ΔH_f (0 K) = 5.44 kcal/mol of atoms